# 1
HfZr2Be | GGA-PBE | optimized geometry

Space group: P4/mmm, No. 123
Formation energy from the elements (meV per atom): -4

a = 3.173 Å, b = 3.173 Å, c = 7.753 Å
α = 90.00°, β = 90.00°, γ = 90.00°
Fractional positions:
Hf1 0.000 0.000 0.000
Zr1 0.500 0.500 0.287
Zr2 0.500 0.500 0.713
Be1 0.000 0.000 0.500

# 2
ReAg2Se | GGA-PBE | optimized geometry

Space group: R3m, No. 160
Formation energy without anion corrections (eV per atom): 0.241

a = 9.572 Å, b = 9.572 Å, c = 9.572 Å
α = 18.29°, β = 18.29°, γ = 18.29°
Fractional positions:
Re1 0.000 0.000 0.000
Ag1 0.497 0.497 0.497
Ag2 0.749 0.749 0.749
Se1 0.273 0.273 0.273

# 3
Ba2TbPmS4 | GGA-PBE | optimized geometry

Space group: P2/m, No. 10
Formation energy without anion corrections (eV per atom): -2.018

a = 7.220 Å, b = 4.177 Å, c = 7.542 Å
α = 90.00°, β = 108.67°, γ = 90.00°
Fractional positions:
Ba1 0.000 0.000 0.000
Ba2 0.500 0.500 0.000
Tb1 0.000 0.500 0.500
Pm1 0.500 0.000 0.500
S1 0.233 0.000 0.713
S2 0.256 0.500 0.285
S3 0.744 0.500 0.715
S4 0.767 0.000 0.287

# 4
Cs2PPtAu | GGA-PBE | optimized geometry

Space group: P4/mmm, No. 123
Formation energy from the elements (meV per atom): -264

a = 6.965 Å, b = 6.965 Å, c = 4.350 Å
α = 90.00°, β = 90.00°, γ = 90.00°
Fractional positions:
Cs1 0.000 0.500 0.000
Cs2 0.500 0.000 0.000
P1 0.000 0.000 0.000
Pt1 0.000 0.000 0.500
Au1 0.500 0.500 0.500

# 5
CaLa2Tc | GGA-PBE | optimized geometry

Space group: Fm-3m, No. 225
Formation energy from the elements (meV per atom): 302

a = 5.363 Å, b = 5.363 Å, c = 5.363 Å
α = 60.00°, β = 60.00°, γ = 60.00°
Fractional positions:
Ca1 0.000 0.000 0.000
La1 0.250 0.250 0.250
La2 0.750 0.750 0.750
Tc1 0.500 0.500 0.500

# 6
Mg2NiN | GGA-PBE | optimized geometry

Space group: I-42d, No. 122
Formation energy without anion corrections (eV per atom): -0.175

a = 6.120 Å, b = 6.120 Å, c = 6.120 Å
α = 94.96°, β = 94.96°, γ = 145.81°
Fractional positions:
Mg1 0.375 0.212 0.337
Mg2 0.788 0.125 0.163
Mg3 0.875 0.038 0.663
Mg4 0.962 0.625 0.837
Ni1 0.250 0.750 0.500
Ni2 0.500 0.500 0.000
N1 0.000 0.000 0.000
N2 0.750 0.250 0.500

# 7
TeP2Ir | GGA-PBE | optimized geometry

Space group: P2/m, No. 10
Formation energy without anion corrections (eV per atom): 0.726

a = 4.524 Å, b = 3.339 Å, c = 4.669 Å
α = 90.00°, β = 101.33°, γ = 90.00°
Fractional positions:
Te1 0.000 0.000 0.000
P1 0.500 0.000 0.500
P2 0.500 0.500 0.000
Ir1 0.000 0.500 0.500

# 8
Li2UTl2S4 | GGA-PBE | optimized geometry

Space group: C2/m, No. 12
Formation energy without anion corrections (eV per atom): -1.034

a = 7.695 Å, b = 7.695 Å, c = 7.471 Å
α = 109.46°, β = 109.46°, γ = 30.83°
Fractional positions:
Li1 0.182 0.182 0.486
Li2 0.818 0.818 0.514
U1 0.500 0.500 0.500
Tl1 0.361 0.361 0.938
Tl2 0.639 0.639 0.062
S1 0.016 0.016 0.273
S2 0.307 0.307 0.334
S3 0.693 0.693 0.666
S4 0.984 0.984 0.727

# 9
Al12Ga5Ag2 | GGA-PBE | optimized geometry

Space group: C2/m, No. 12
Formation energy from the elements (meV per atom): 106

a = 8.046 Å, b = 8.046 Å, c = 8.504 Å
α = 121.15°, β = 121.15°, γ = 53.62°
Fractional positions:
Al1 0.007 0.007 0.165
Al2 0.021 0.404 0.120
Al3 0.099 0.690 0.515
Al4 0.310 0.901 0.485
Al5 0.394 0.394 0.124
Al6 0.404 0.021 0.120
Al7 0.596 0.979 0.880
Al8 0.606 0.606 0.876
Al9 0.690 0.099 0.515
Al10 0.901 0.310 0.485
Al11 0.979 0.596 0.880
Al12 0.993 0.993 0.835
Ga1 0.155 0.155 0.783
Ga2 0.260 0.260 0.439
Ga3 0.500 0.500 0.500
Ga4 0.740 0.740 0.561
Ga5 0.845 0.845 0.217
Ag1 0.309 0.691 0.000
Ag2 0.691 0.309 0.000

# 10
Cs2PmPrO4 | GGA-PBE | optimized geometry

Space group: P2/m, No. 10
Formation energy without anion corrections (eV per atom): -2.507

a = 6.421 Å, b = 3.707 Å, c = 7.276 Å
α = 90.00°, β = 107.10°, γ = 90.00°
Fractional positions:
Cs1 0.000 0.000 0.000
Cs2 0.500 0.500 0.000
Pm1 0.000 0.500 0.500
Pr1 0.500 0.000 0.500
O1 0.219 0.000 0.669
O2 0.273 0.500 0.330
O3 0.727 0.500 0.670
O4 0.781 0.000 0.331

# 11
HoErGeRu | GGA-PBE | optimized geometry

Space group: Amm2, No. 38
Formation energy from the elements (meV per atom): -641

a = 3.839 Å, b = 5.792 Å, c = 5.792 Å
α = 42.64°, β = 90.00°, γ = 90.00°
Fractional positions:
Ho1 0.000 0.000 0.000
Er1 0.500 0.718 0.718
Ge1 0.500 0.423 0.423
Ru1 0.000 0.268 0.268

# 12
LiNb2MoPd | GGA-PBE | optimized geometry

Space group: P4/mmm, No. 123
Formation energy from the elements (meV per atom): 1115

a = 4.899 Å, b = 4.899 Å, c = 3.966 Å
α = 90.00°, β = 90.00°, γ = 90.00°
Fractional positions:
Li1 0.000 0.000 0.000
Nb1 0.000 0.500 0.500
Nb2 0.500 0.000 0.500
Mo1 0.500 0.500 0.000
Pd1 0.000 0.000 0.500

# 13
Mg3Ga3AgPd2 | GGA-PBE | optimized geometry

Space group: P-62m, No. 189
Formation energy from the elements (meV per atom): -357

a = 7.605 Å, b = 7.605 Å, c = 3.059 Å
α = 90.00°, β = 90.00°, γ = 120.00°
Fractional positions:
Mg1 0.000 0.699 0.000
Mg2 0.301 0.301 0.000
Mg3 0.699 0.000 0.000
Ga1 0.000 0.368 0.500
Ga2 0.368 0.000 0.500
Ga3 0.632 0.632 0.500
Ag1 0.000 0.000 0.500
Pd1 0.333 0.667 0.000
Pd2 0.667 0.333 0.000

# 14
Nd5Er5Th2 | GGA-PBE | optimized geometry

Space group: P-1, No. 2
Formation energy from the elements (meV per atom): 38

a = 6.206 Å, b = 8.028 Å, c = 8.821 Å
α = 111.08°, β = 90.29°, γ = 104.92°
Fractional positions:
Nd1 0.000 0.000 0.000
Nd2 0.083 0.743 0.582
Nd3 0.252 0.258 0.753
Nd4 0.748 0.742 0.247
Nd5 0.917 0.257 0.418
Er1 0.335 0.996 0.330
Er2 0.414 0.747 0.917
Er3 0.500 0.500 0.500
Er4 0.586 0.253 0.083
Er5 0.665 0.004 0.670
Th1 0.166 0.503 0.162
Th2 0.834 0.497 0.838

# 15
YLuTlAg | GGA-PBE | optimized geometry

Space group: F-43m, No. 216
Formation energy from the elements (meV per atom): -342

a = 5.215 Å, b = 5.215 Å, c = 5.215 Å
α = 60.00°, β = 60.00°, γ = 60.00°
Fractional positions:
Y1 0.000 0.000 0.000
Lu1 0.500 0.500 0.500
Tl1 0.750 0.750 0.750
Ag1 0.250 0.250 0.250

# 16
Ta8Nb2Fe | GGA-PBE | optimized geometry

Space group: C2/m, No. 12
Formation energy from the elements (meV per atom): 132

a = 7.560 Å, b = 7.560 Å, c = 5.365 Å
α = 99.73°, β = 99.73°, γ = 41.31°
Fractional positions:
Ta1 0.000 0.000 0.244
Ta2 0.000 0.000 0.756
Ta3 0.093 0.590 0.435
Ta4 0.399 0.399 0.960
Ta5 0.410 0.907 0.565
Ta6 0.590 0.093 0.435
Ta7 0.601 0.601 0.040
Ta8 0.907 0.410 0.565
Nb1 0.196 0.196 0.064
Nb2 0.804 0.804 0.936
Fe1 0.500 0.500 0.500

# 17
Li2Ni2Os | GGA-PBE | optimized geometry

Space group: P4/mbm, No. 127
Formation energy from the elements (meV per atom): 313

a = 6.695 Å, b = 6.695 Å, c = 2.578 Å
α = 90.00°, β = 90.00°, γ = 90.00°
Fractional positions:
Li1 0.167 0.333 0.000
Li2 0.333 0.833 0.000
Li3 0.667 0.167 0.000
Li4 0.833 0.667 0.000
Ni1 0.132 0.632 0.500
Ni2 0.368 0.132 0.500
Ni3 0.632 0.868 0.500
Ni4 0.868 0.368 0.500
Os1 0.000 0.000 0.500
Os2 0.500 0.500 0.500

# 18
CaSb2P | GGA-PBE | optimized geometry

Space group: I-4m2, No. 119
Formation energy without anion corrections (eV per atom): -0.156

a = 5.996 Å, b = 5.996 Å, c = 5.996 Å
α = 137.22°, β = 137.22°, γ = 62.11°
Fractional positions:
Ca1 0.000 0.000 0.000
Sb1 0.500 0.500 0.000
Sb2 0.750 0.250 0.500
P1 0.250 0.750 0.500

# 19
TlSb3H | GGA-PBE | optimized geometry

Space group: Pm-3m, No. 221

a = 5.794 Å, b = 5.794 Å, c = 5.794 Å
α = 90.00°, β = 90.00°, γ = 90.00°
Fractional positions:
Tl1 0.000 0.000 0.000
Sb1 0.000 0.000 0.500
Sb2 0.000 0.500 0.000
Sb3 0.500 0.000 0.000
H1 0.500 0.500 0.500

# 20
La2Al3GaAg4 | GGA-PBE | optimized geometry

Space group: P-4m2, No. 115
Formation energy from the elements (meV per atom): -361

a = 4.479 Å, b = 4.479 Å, c = 10.774 Å
α = 90.00°, β = 90.00°, γ = 90.00°
Fractional positions:
La1 0.000 0.500 0.248
La2 0.500 0.000 0.752
Al1 0.000 0.000 0.000
Al2 0.000 0.500 0.631
Al3 0.500 0.000 0.369
Ga1 0.500 0.500 0.000
Ag1 0.000 0.000 0.500
Ag2 0.000 0.500 0.868
Ag3 0.500 0.000 0.132
Ag4 0.500 0.500 0.500

| no. | VASP energy (eV/atom) | magnetization (μB/f.u.) |
| --- | --- | --- |
| 1 | -7.698 | 0.0 |
| 2 | -5.168 | 0.0 |
| 3 | -5.735 | 0.0 |
| 4 | -3.551 | 0.0 |
| 5 | -5.254 | 0.0 |
| 6 | -4.499 | 0.0 |
| 7 | -4.980 | 0.0 |
| 8 | -5.074 | 2.0 |
| 9 | -3.354 | 0.0 |
| 10 | -6.391 | 0.0 |
| 11 | -6.399 | 0.0 |
| 12 | -6.501 | 0.0 |
| 13 | -3.369 | 0.0 |
| 14 | -5.087 | 0.0 |
| 15 | -4.393 | 0.0 |
| 16 | -11.088 | 0.0 |
| 17 | -5.011 | 0.0 |
| 18 | -4.070 | 0.0 |
| 19 | -2.286 | 0.9 |
| 20 | -3.912 | 0.0 |